(1)
DFT (GGA-PBE) results for a geometry-optimized Fe4Rh structure.

Structure (extended XYZ):
```
5
Lattice="-10.176 -1.995 0.353 -9.666 -3.215 -1.970 -9.328 -4.530 0.333" Properties=species:S:1:pos:R:3 pbc="T T T"
Fe -11.755 -3.925 -0.517
Fe -23.377 -7.806 -1.029
Fe -5.792 -1.934 -0.255
Rh 0.000 0.000 0.000
Fe -17.415 -5.815 -0.767
```

Properties
The calculation puts the formation energy at 0.109 eV/atom. The volume comes out at 12.703 Å³/atom. The crystal system is trigonal. As for the total DFT energy (no corrections): -8.13 eV/atom. The symmetry is No. 166.

=====

(2)
DFT (GGA-PBE) results for a geometry-optimized FeRh2 structure.

Structure (extended XYZ):
```
6
Lattice="2.707 0.000 0.000 0.000 7.990 0.000 0.000 0.000 3.762" Properties=species:S:1:pos:R:3 pbc="T T T"
Rh 0.000 5.344 0.000
Fe 1.354 1.329 1.881
Rh 1.354 3.977 1.881
Rh 0.000 2.545 0.000
Fe 0.000 0.003 0.000
Rh 1.354 6.776 1.881
```

Properties
The calculation puts the formation energy at 0.009 eV/atom. The volume comes out at 13.562 Å³/atom. The crystal system is orthorhombic. As for the total DFT energy (no corrections): -7.71 eV/atom. The symmetry is No. 59.

=====

(3)
DFT (GGA-PBE) results for a geometry-optimized FeRh2 structure.

Structure (extended XYZ):
```
6
Lattice="-2.597 -0.540 0.359 3.011 -3.773 6.076 -0.371 3.244 2.198" Properties=species:S:1:pos:R:3 pbc="T T T"
Rh 1.828 -1.749 6.414
Rh 1.210 -0.281 4.143
Fe -1.947 0.511 2.441
Fe 0.946 -4.191 6.345
Rh -0.231 -1.390 2.013
Rh 0.386 -2.859 4.284
```

Properties
The calculation puts the formation energy at 0.034 eV/atom. The volume comes out at 13.422 Å³/atom. The crystal system is monoclinic. As for the total DFT energy (no corrections): -7.69 eV/atom. The symmetry is No. 11.

=====

(4)
DFT (GGA-PBE) results for a geometry-optimized FeRh3 structure.

Structure (extended XYZ):
```
4
Lattice="-1.640 -4.746 -0.231 3.075 1.525 -3.672 0.807 1.907 4.580" Properties=species:S:1:pos:R:3 pbc="T T T"
Rh -0.416 -1.420 2.175
Rh 0.717 -1.610 -1.952
Fe 0.000 0.000 0.000
Rh 1.941 1.716 0.454
```

Properties
The calculation puts the formation energy at 0.206 eV/atom. The volume comes out at 14.223 Å³/atom. The crystal system is trigonal. As for the total DFT energy (no corrections): -7.42 eV/atom. The symmetry is No. 166.

=====

(5)
DFT (GGA-PBE) results for a geometry-optimized FeRh structure.

Structure (extended XYZ):
```
2
Lattice="2.688 0.000 0.000 1.344 2.328 0.000 1.344 0.776 4.273" Properties=species:S:1:pos:R:3 pbc="T T T"
Fe 0.000 0.000 0.000
Rh 2.688 1.552 2.137
```

Properties
The calculation puts the formation energy at 0.019 eV/atom. The volume comes out at 13.366 Å³/atom. The crystal system is trigonal. As for the total DFT energy (no corrections): -7.89 eV/atom. The symmetry is No. 166.

=====

(6)
DFT (GGA-PBE) results for a geometry-optimized Fe5Rh structure.

Structure (extended XYZ):
```
6
Lattice="-4.681 3.487 3.500 2.862 -5.235 -3.275 1.650 -1.271 3.473" Properties=species:S:1:pos:R:3 pbc="T T T"
Rh 2.861 -4.914 -0.796
Fe 0.336 -2.314 -1.006
Fe -2.221 0.642 1.290
Fe -4.657 3.459 3.478
Fe -2.193 0.928 3.742
Fe 0.377 -2.043 1.434
```

Properties
The calculation puts the formation energy at 0.085 eV/atom. The volume comes out at 11.427 Å³/atom. The crystal system is orthorhombic. As for the total DFT energy (no corrections): -8.19 eV/atom. The symmetry is No. 38.

=====

(7)
DFT (GGA-PBE) results for a geometry-optimized FeRh4 structure.

Structure (extended XYZ):
```
5
Lattice="-0.011 -0.052 -2.700 10.455 -3.255 1.372 -0.535 -2.249 1.396" Properties=species:S:1:pos:R:3 pbc="T T T"
Rh 5.854 -3.766 1.400
Rh 8.232 -3.556 0.036
Rh 1.677 -2.000 0.032
Fe 0.000 0.000 0.000
Rh 4.055 -1.791 -1.332
```

Properties
The calculation puts the formation energy at -0.007 eV/atom. The volume comes out at 13.803 Å³/atom. The crystal system is trigonal. As for the total DFT energy (no corrections): -7.58 eV/atom. The symmetry is No. 166.

=====

(8)
DFT (GGA-PBE) results for a geometry-optimized Fe5Rh structure.

Structure (extended XYZ):
```
6
Lattice="3.153 -2.699 2.235 0.693 0.529 4.632 -1.456 -3.335 2.997" Properties=species:S:1:pos:R:3 pbc="T T T"
Fe 1.243 -1.803 6.012
Fe 2.468 -3.412 4.817
Fe 0.897 -2.067 3.703
Fe 1.793 -4.129 7.398
Fe 0.172 -3.728 5.197
Rh 0.000 0.000 0.000
```

Properties
The calculation puts the formation energy at 0.111 eV/atom. The volume comes out at 12.343 Å³/atom. The crystal system is cubic. As for the total DFT energy (no corrections): -8.17 eV/atom. The symmetry is No. 216.

=====

(9)
DFT (GGA-PBE) results for a geometry-optimized FeRh2 structure.

Structure (extended XYZ):
```
6
Lattice="-0.929 -1.914 -1.671 9.714 -0.090 -5.295 0.902 -1.912 1.688" Properties=species:S:1:pos:R:3 pbc="T T T"
Fe 3.198 -0.030 -1.743
Rh 1.606 -1.928 -0.874
Fe 0.040 0.000 -0.022
Rh 6.476 -0.060 -3.530
Rh 4.760 -1.957 -2.594
Rh 8.165 -1.989 -4.450
```

Properties
The calculation puts the formation energy at -0.004 eV/atom. The volume comes out at 13.496 Å³/atom. The crystal system is tetragonal. As for the total DFT energy (no corrections): -7.73 eV/atom. The symmetry is No. 123.

=====

(10)
DFT (GGA-PBE) results for a geometry-optimized Fe3Rh structure.

Structure (extended XYZ):
```
4
Lattice="-4.420 1.797 3.535 1.112 -2.767 2.796 6.854 -0.859 -3.575" Properties=species:S:1:pos:R:3 pbc="T T T"
Rh -0.549 -0.934 2.282
Fe 4.594 0.053 -1.774
Fe -4.370 1.784 3.502
Fe -2.759 -0.036 4.050
```

Properties
The calculation puts the formation energy at 0.011 eV/atom. The volume comes out at 12.729 Å³/atom. The crystal system is monoclinic. As for the total DFT energy (no corrections): -8.17 eV/atom. The symmetry is No. 10.

=====

(11)
DFT (GGA-PBE) results for a geometry-optimized FeRh3 structure.

Structure (extended XYZ):
```
4
Lattice="-0.110 -0.220 2.692 1.083 -1.989 -1.475 7.755 3.759 0.624" Properties=species:S:1:pos:R:3 pbc="T T T"
Fe 0.000 0.000 0.000
Rh 2.544 -0.498 0.063
Rh 6.581 1.458 0.388
Rh 3.877 1.879 0.312
```

Properties
The calculation puts the formation energy at 0.008 eV/atom. The volume comes out at 13.668 Å³/atom. The crystal system is hexagonal. As for the total DFT energy (no corrections): -7.62 eV/atom. The symmetry is No. 187.

=====

(12)
DFT (GGA-PBE) results for a geometry-optimized FeRh2 structure.

Structure (extended XYZ):
```
12
Lattice="-0.257 1.393 5.041 -0.526 -3.891 1.048 7.693 -0.869 0.633" Properties=species:S:1:pos:R:3 pbc="T T T"
Fe 6.728 -1.507 1.721
Fe 4.330 -0.554 4.054
Rh 5.044 -2.925 3.487
Rh 1.866 -0.442 3.235
Rh 5.349 -2.278 6.043
Rh 2.727 -2.131 5.274
Fe 2.580 -2.813 2.668
Fe 0.182 -1.860 5.002
Rh 4.183 -1.236 1.448
Rh 1.561 -1.089 0.679
Rh 6.880 -0.859 4.201
Rh 0.030 -2.508 2.521
```

Properties
The calculation puts the formation energy at -0.010 eV/atom. The volume comes out at 13.774 Å³/atom. The crystal system is orthorhombic. As for the total DFT energy (no corrections): -7.73 eV/atom. The symmetry is No. 62.

=====

(13)
DFT (GGA-PBE) results for a geometry-optimized FeRh4 structure.

Structure (extended XYZ):
```
5
Lattice="-3.590 3.590 1.360 3.590 -3.590 1.360 3.590 3.590 -1.360" Properties=species:S:1:pos:R:3 pbc="T T T"
Rh 0.643 2.048 1.360
Rh 1.542 4.233 0.000
Fe 0.000 0.000 0.000
Rh 2.947 1.542 0.000
Rh 2.048 -0.643 1.360
```

Properties
The calculation puts the formation energy at 0.127 eV/atom. The volume comes out at 14.017 Å³/atom. The crystal system is tetragonal. As for the total DFT energy (no corrections): -7.45 eV/atom. The symmetry is No. 87.